1.
Material: K4Mg3VF12
Method: DFT, PBE+U
State: optimized geometry

Calculated values
**Raw total energy**: -102.39 eV for the cell shown
**Symmetry**: Im-3m (229)

Unit cell a=7.0866 b=7.0866 c=7.0866 alpha=109.47 beta=109.47 gamma=109.47
Last column: nearest neighbours and their distance in Å.
Fractional positions:
K  0.0000  0.0000  0.5000  12 F 2.89
K  0.0000  0.5000  0.0000  12 F 2.89
K  0.5000  0.0000  0.0000  12 F 2.89
K  0.5000  0.5000  0.5000  12 F 2.89
Mg  0.0000  0.5000  0.5000  6 F 1.99-2.05
Mg  0.5000  0.0000  0.5000  6 F 1.99-2.05
Mg  0.5000  0.5000  0.0000  6 F 1.99-2.05
V  0.0000  0.0000  0.0000  6 F 2.10
F  0.0000  0.2572  0.2572  1 Mg 1.99, 1 V 2.10
F  0.0000  0.7428  0.7428  1 Mg 1.99, 1 V 2.10
F  0.2500  0.5000  0.7500  2 Mg 2.05
F  0.2500  0.7500  0.5000  2 Mg 2.05
F  0.2572  0.0000  0.2572  1 Mg 1.99, 1 V 2.10
F  0.2572  0.2572  0.0000  1 Mg 1.99, 1 V 2.10
F  0.5000  0.2500  0.7500  2 Mg 2.05
F  0.5000  0.7500  0.2500  2 Mg 2.05
F  0.7428  0.0000  0.7428  1 Mg 1.99, 1 V 2.10
F  0.7428  0.7428  0.0000  1 Mg 1.99, 1 V 2.10
F  0.7500  0.2500  0.5000  2 Mg 2.05
F  0.7500  0.5000  0.2500  2 Mg 2.05



2.
Material: K3MgV2F9
Method: DFT, PBE+U
State: optimized geometry

Calculated values
**Raw total energy**: -80.82 eV for the cell shown
**Symmetry**: P-3m1 (164)

Unit cell a=5.8843 b=5.8843 c=7.2081 alpha=90.00 beta=90.00 gamma=120.00
Last column: nearest neighbours and their distance in Å.
Fractional positions:
K  0.0000  0.0000  0.0000  12 F 2.94-2.95
K  0.3333  0.6667  0.6680  12 F 2.93-2.94
K  0.6667  0.3333  0.3320  12 F 2.93-2.94
Mg  0.0000  0.0000  0.5000  6 F 2.01
V  0.3333  0.6667  0.1733  6 F 2.11-2.12
V  0.6667  0.3333  0.8267  6 F 2.11-2.12
F  0.0000  0.5000  0.0000  2 V 2.11
F  0.1620  0.3239  0.3397  1 Mg 2.01, 1 V 2.12
F  0.1620  0.8380  0.3397  1 Mg 2.01, 1 V 2.12
F  0.3239  0.1620  0.6603  1 Mg 2.01, 1 V 2.12
F  0.5000  0.0000  0.0000  2 V 2.11
F  0.5000  0.5000  0.0000  2 V 2.11
F  0.6761  0.8380  0.3397  1 Mg 2.01, 1 V 2.12
F  0.8380  0.1620  0.6603  1 Mg 2.01, 1 V 2.12
F  0.8380  0.6761  0.6603  1 Mg 2.01, 1 V 2.12



3.
Material: K2MgV3F12
Method: DFT, PBE+U
State: optimized geometry

Calculated values
**Raw total energy**: -101.97 eV for the cell shown
**Symmetry**: R-3m (166)

Unit cell a=7.4468 b=7.4468 c=7.4468 alpha=60.10 beta=60.10 gamma=60.10
Last column: nearest neighbours and their distance in Å.
Fractional positions:
K  0.1596  0.1596  0.1596  6 F 2.89-3.14
K  0.8404  0.8404  0.8404  6 F 2.89-3.14
Mg  0.5000  0.5000  0.5000  6 F 2.00
V  0.0000  0.5000  0.5000  6 F 2.00-2.01
V  0.5000  0.0000  0.5000  6 F 2.00-2.01
V  0.5000  0.5000  0.0000  6 F 2.00-2.01
F  0.1787  0.1787  0.5609  2 V 2.01
F  0.1787  0.5609  0.1787  2 V 2.01
F  0.1799  0.5703  0.5703  1 Mg 2.00, 1 V 2.00
F  0.4297  0.4297  0.8201  1 Mg 2.00, 1 V 2.00
F  0.4297  0.8201  0.4297  1 Mg 2.00, 1 V 2.00
F  0.4391  0.8213  0.8213  2 V 2.01
F  0.5609  0.1787  0.1787  2 V 2.01
F  0.5703  0.1799  0.5703  1 Mg 2.00, 1 V 2.00
F  0.5703  0.5703  0.1799  1 Mg 2.00, 1 V 2.00
F  0.8201  0.4297  0.4297  1 Mg 2.00, 1 V 2.00
F  0.8213  0.4391  0.8213  2 V 2.01
F  0.8213  0.8213  0.4391  2 V 2.01



4.
Material: K2MgVF6
Method: DFT, PBE+U
State: optimized geometry

Calculated values
**Raw total energy**: -52.83 eV for the cell shown
**Symmetry**: Fm-3m (225)

Unit cell a=5.8417 b=5.8417 c=5.8417 alpha=60.00 beta=60.00 gamma=60.00
Last column: nearest neighbours and their distance in Å.
Fractional positions:
K  0.2500  0.2500  0.2500  12 F 2.92
K  0.7500  0.7500  0.7500  12 F 2.92
Mg  0.0000  0.0000  0.0000  6 F 2.01
V  0.5000  0.5000  0.5000  6 F 2.12
F  0.2437  0.2437  0.7563  1 Mg 2.01, 1 V 2.12
F  0.2437  0.7563  0.2437  1 Mg 2.01, 1 V 2.12
F  0.2437  0.7563  0.7563  1 Mg 2.01, 1 V 2.12
F  0.7563  0.2437  0.2437  1 Mg 2.01, 1 V 2.12
F  0.7563  0.2437  0.7563  1 Mg 2.01, 1 V 2.12
F  0.7563  0.7563  0.2437  1 Mg 2.01, 1 V 2.12



5.
Material: K3Mg2VF9
Method: DFT, PBE+U
State: optimized geometry

Calculated values
**Raw total energy**: -77.63 eV for the cell shown
**Symmetry**: P-3m1 (164)

Unit cell a=5.7972 b=5.7972 c=7.1176 alpha=90.00 beta=90.00 gamma=120.00
Last column: nearest neighbours and their distance in Å.
Fractional positions:
K  0.0000  0.0000  0.0000  12 F 2.89-2.90
K  0.3333  0.6667  0.6649  12 F 2.90-2.91
K  0.6667  0.3333  0.3351  12 F 2.90-2.91
Mg  0.3333  0.6667  0.1603  6 F 2.01-2.03
Mg  0.6667  0.3333  0.8397  6 F 2.01-2.03
V  0.0000  0.0000  0.5000  6 F 2.11
F  0.0000  0.5000  0.0000  2 Mg 2.03
F  0.1709  0.3418  0.3263  1 Mg 2.01, 1 V 2.11
F  0.1709  0.8291  0.3263  1 Mg 2.01, 1 V 2.11
F  0.3418  0.1709  0.6737  1 Mg 2.01, 1 V 2.11
F  0.5000  0.0000  0.0000  2 Mg 2.03
F  0.5000  0.5000  0.0000  2 Mg 2.03
F  0.6582  0.8291  0.3263  1 Mg 2.01, 1 V 2.11
F  0.8291  0.1709  0.6737  1 Mg 2.01, 1 V 2.11
F  0.8291  0.6582  0.6737  1 Mg 2.01, 1 V 2.11



6.
Material: KMgVF6
Method: DFT, PBE+U
State: optimized geometry

Calculated values
**Raw total energy**: -98.85 eV for the cell shown
**Symmetry**: Imma (74)

Unit cell a=7.3765 b=7.3765 c=7.3765 alpha=121.09 beta=118.87 gamma=90.05
Last column: nearest neighbours and their distance in Å.
Fractional positions:
K  0.3381  0.0881  0.2500  1 F 2.78
K  0.6619  0.9119  0.7500  1 F 2.78
Mg  0.0000  0.0000  0.5000  6 F 1.96-2.02
Mg  0.0000  0.5000  0.0000  6 F 1.96-2.02
V  0.0000  0.5000  0.5000  6 F 1.95-2.02
V  0.5000  0.5000  0.0000  6 F 1.95-2.02
F  0.0676  0.4273  0.2503  1 V 1.95, 1 Mg 2.02
F  0.0676  0.8173  0.6402  1 V 1.95, 1 Mg 2.02
F  0.0713  0.8213  0.2500  2 Mg 1.96
F  0.3215  0.5715  0.7500  2 V 2.02
F  0.3229  0.1827  0.7503  1 V 1.95, 1 Mg 2.02
F  0.3229  0.5727  0.1402  1 V 1.95, 1 Mg 2.02
F  0.6771  0.4273  0.8598  1 V 1.95, 1 Mg 2.02
F  0.6771  0.8173  0.2497  1 V 1.95, 1 Mg 2.02
F  0.6785  0.4285  0.2500  2 V 2.02
F  0.9287  0.1787  0.7500  2 Mg 1.96
F  0.9324  0.1827  0.3598  1 V 1.95, 1 Mg 2.02
F  0.9324  0.5727  0.7497  1 V 1.95, 1 Mg 2.02



7.
Material: K2Mg3VF12
Method: DFT, PBE+U
State: optimized geometry

Calculated values
**Raw total energy**: -93.72 eV for the cell shown
**Symmetry**: R-3m (166)

Unit cell a=7.4343 b=7.4343 c=7.4343 alpha=58.39 beta=58.39 gamma=58.39
Last column: nearest neighbours and their distance in Å.
Fractional positions:
K  0.0945  0.0945  0.0945  3 F 2.84
K  0.9055  0.9055  0.9055  3 F 2.84
Mg  0.0000  0.5000  0.5000  6 F 1.96-2.10
Mg  0.5000  0.0000  0.5000  6 F 1.96-2.10
Mg  0.5000  0.5000  0.0000  6 F 1.96-2.10
V  0.5000  0.5000  0.5000  6 F 1.88
F  0.1772  0.1772  0.5747  2 Mg 1.96
F  0.1772  0.5747  0.1772  2 Mg 1.96
F  0.1950  0.5679  0.5679  1 V 1.88, 1 Mg 2.10
F  0.4253  0.8228  0.8228  2 Mg 1.96
F  0.4321  0.4321  0.8050  1 V 1.88, 1 Mg 2.10
F  0.4321  0.8050  0.4321  1 V 1.88, 1 Mg 2.10
F  0.5679  0.1950  0.5679  1 V 1.88, 1 Mg 2.10
F  0.5679  0.5679  0.1950  1 V 1.88, 1 Mg 2.10
F  0.5747  0.1772  0.1772  2 Mg 1.96
F  0.8050  0.4321  0.4321  1 V 1.88, 1 Mg 2.10
F  0.8228  0.4253  0.8228  2 Mg 1.96
F  0.8228  0.8228  0.4253  2 Mg 1.96



8.
Material: K2Mg3WF12
Method: DFT, PBE+U
State: optimized geometry

Calculated values
**Raw total energy**: -92.38 eV for the cell shown
**Symmetry**: R-3m (166)

Unit cell a=7.5891 b=7.5891 c=7.5891 alpha=57.79 beta=57.79 gamma=57.79
Last column: nearest neighbours and their distance in Å.
Fractional positions:
K  0.0892  0.0892  0.0892  3 F 2.90
K  0.9108  0.9108  0.9108  3 F 2.90
Mg  0.0000  0.5000  0.5000  6 F 1.96-2.10
Mg  0.5000  0.0000  0.5000  6 F 1.96-2.10
Mg  0.5000  0.5000  0.0000  6 F 1.96-2.10
W  0.5000  0.5000  0.5000  6 F 2.01
F  0.1754  0.5759  0.5759  1 W 2.01, 1 Mg 2.10
F  0.1845  0.1845  0.5793  2 Mg 1.96
F  0.1845  0.5793  0.1845  2 Mg 1.96
F  0.4207  0.8155  0.8155  2 Mg 1.96
F  0.4241  0.4241  0.8246  1 W 2.01, 1 Mg 2.10
F  0.4241  0.8246  0.4241  1 W 2.01, 1 Mg 2.10
F  0.5759  0.1754  0.5759  1 W 2.01, 1 Mg 2.10
F  0.5759  0.5759  0.1754  1 W 2.01, 1 Mg 2.10
F  0.5793  0.1845  0.1845  2 Mg 1.96
F  0.8155  0.4207  0.8155  2 Mg 1.96
F  0.8155  0.8155  0.4207  2 Mg 1.96
F  0.8246  0.4241  0.4241  1 W 2.01, 1 Mg 2.10